[1]
DFT (GGA-PBE) results for a geometry-optimized MgGa2SeO6 structure.

abc: 5.5018 6.7213 6.7213
angles: 82.63 80.23 80.23
Last column: nearest neighbours and their distance in Å.
Fractional coordinates of all 20 atoms:
O 0.3531 0.2057 0.9961  1 Se 1.84, 1 Ga 1.99
O 0.5529 0.4165 0.2695  2 Ga 1.83
O 0.0529 0.2695 0.4165  2 Ga 1.83
Se 0.7500 0.7455 0.2545  4 O 1.84-1.98
Ga 0.7469 0.2074 0.3978  4 O 1.83-1.99
O 0.8531 0.9961 0.2057  1 Se 1.84, 1 Ga 1.99
O 0.4088 0.8836 0.3478  1 Ga 1.86, 1 Se 1.98, 1 Mg 2.02
Ga 0.2531 0.7926 0.6022  4 O 1.83-1.99
O 0.5912 0.1164 0.6522  1 Ga 1.86, 1 Se 1.98, 1 Mg 2.02
O 0.6469 0.7943 0.0039  1 Se 1.84, 1 Ga 1.99
O 0.9471 0.7305 0.5835  2 Ga 1.83
O 0.1469 0.0039 0.7943  1 Se 1.84, 1 Ga 1.99
Se 0.2500 0.2545 0.7455  4 O 1.84-1.98
Mg 0.2500 0.9048 0.0952  6 O 2.02-2.19
O 0.4471 0.5835 0.7305  2 Ga 1.83
Ga 0.7531 0.6022 0.7926  4 O 1.83-1.99
O 0.9088 0.3478 0.8836  1 Ga 1.86, 1 Se 1.98, 1 Mg 2.02
Mg 0.7500 0.0952 0.9048  6 O 2.02-2.19
Ga 0.2469 0.3978 0.2074  4 O 1.83-1.99
O 0.0912 0.6522 0.1164  1 Ga 1.86, 1 Se 1.98, 1 Mg 2.02

Properties
- DOS at the Fermi energy (states/eV/f.u.) = 0.00
- formation energy (no corrections) (kJ per mole of atoms) = -158.1
- total magnetic moment (μB/f.u.) = 0.00


[2]
DFT (GGA-PBE) results for a geometry-optimized PrSmCo17 structure.

abc: 6.3112 6.3112 6.3112
angles: 83.11 83.11 83.11
Last column: nearest neighbours and their distance in Å.
Fractional coordinates of all 19 atoms:
Co 0.8513 0.3427 0.3427  9 Co 2.40-2.60
Co 0.3427 0.8513 0.3427  9 Co 2.40-2.60
Co 0.3427 0.3427 0.8513  9 Co 2.40-2.60
Co 0.0963 0.0963 0.0963  7 Co 2.33-2.58
Co 0.4997 0.0009 0.0009  10 Co 2.38-2.57
Co 0.1486 0.6563 0.6563  9 Co 2.41-2.59
Co 0.2851 0.7148 0.0006  10 Co 2.38-2.66
Co 0.9045 0.9045 0.9045  7 Co 2.33-2.59
Sm 0.3441 0.3441 0.3441  19 Co 3.01-3.23
Co 0.0006 0.7148 0.2851  10 Co 2.38-2.66
Co 0.7148 0.0006 0.2851  10 Co 2.38-2.66
Pr 0.6548 0.6548 0.6548  19 Co 3.01-3.26
Co 0.7148 0.2851 0.0006  10 Co 2.38-2.66
Co 0.6563 0.1486 0.6563  9 Co 2.41-2.59
Co 0.6563 0.6563 0.1486  9 Co 2.41-2.59
Co 0.0009 0.4997 0.0009  10 Co 2.38-2.57
Co 0.2851 0.0006 0.7148  10 Co 2.38-2.66
Co 0.0006 0.2851 0.7148  10 Co 2.38-2.66
Co 0.0009 0.0009 0.4997  10 Co 2.38-2.57

Properties
- DOS at the Fermi energy (states/eV/f.u.) = 19.53
- total magnetic moment (μB/f.u.) = 25.06
- DFT formation energy (eV/atom) = -0.06